1.
This record from Alexandria describes crystalline La4AlHg2 at its relaxed geometry. The functional is PBE-GGA.

Cell lengths 8.262, 8.262, 8.262 Å; angles 141.12, 141.12, 56.16 degrees
Element x y z (fractional)
1 La 0.116 0.616 0.500
2 La 0.384 0.884 0.500
3 La 0.616 0.116 0.500
4 La 0.884 0.384 0.500
5 Al 0.000 0.000 0.000
6 Hg 0.245 0.245 0.000
7 Hg 0.755 0.755 0.000

Calculated values
DFT total energy (eV/atom): -3.77
Calculated formation energy (eV/f.u.): -2.32


2.
This record from Alexandria describes crystalline Dy3TmAg2 at its relaxed geometry. The functional is PBE-GGA.

Cell lengths 5.073, 9.089, 6.912 Å; angles 90.00, 90.00, 90.00 degrees
Element x y z (fractional)
1 Dy 0.000 0.063 0.000
2 Dy 0.000 0.330 0.359
3 Dy 0.000 0.670 0.859
4 Dy 0.000 0.937 0.500
5 Dy 0.500 0.172 0.670
6 Dy 0.500 0.828 0.170
7 Tm 0.500 0.438 0.030
8 Tm 0.500 0.562 0.530
9 Ag 0.000 0.351 0.782
10 Ag 0.000 0.649 0.282
11 Ag 0.500 0.152 0.247
12 Ag 0.500 0.848 0.747

Calculated values
Energy relative to the lowest polymorph listed for this composition (eV per atom): 0.000
DFT total energy (eV/atom): -4.20
Calculated formation energy (eV/f.u.): -1.21